1.
Compound: La2NdGa4Pt3
Source: Alexandria via LeMat-Bulk
Functional: PBE
Structure: relaxed

abc: 4.3430 4.3430 11.7183
angles: 90.00 90.00 90.00
With the nearest neighbours (Å) after each atom.
Element x y z (fractional)
1 La 0.5000 0.0000 0.2213  4 Pt 3.30, 8 Ga 3.32-3.38
2 La 0.0000 0.5000 0.7787  4 Pt 3.30, 8 Ga 3.32-3.38
3 Nd 0.5000 0.5000 0.5000  4 Ga 2.96, 4 Pt 3.07
4 Ga 0.5000 0.5000 0.0000  4 Pt 2.58
5 Ga 0.0000 0.0000 0.0000  4 Pt 2.58
6 Ga 0.5000 0.0000 0.6711  1 Pt 2.47
7 Ga 0.0000 0.5000 0.3289  1 Pt 2.47
8 Pt 0.0000 0.0000 0.5000  4 Ga 2.96, 4 Nd 3.07
9 Pt 0.5000 0.0000 0.8817  5 Ga 2.47-2.58
10 Pt 0.0000 0.5000 0.1183  5 Ga 2.47-2.58

total energy: -5.354 eV/atom
energy of formation: -0.869 eV/atom
total moment: 0.00 μB per cell
calculated density: 9.663 g/cm3
symmetry: P-4m2

2.
Compound: La2NdGa2Pt7
Source: Alexandria via LeMat-Bulk
Functional: PBE
Structure: relaxed

abc: 4.1687 4.1687 14.3201
angles: 84.09 84.09 89.36
With the nearest neighbours (Å) after each atom.
Element x y z (fractional)
1 La 0.8901 0.8901 0.3575  5 Pt 3.02-3.28, 3 Ga 3.24-3.29
2 La 0.1099 0.1099 0.6425  5 Pt 3.02-3.28, 3 Ga 3.24-3.29
3 Nd 0.0000 0.0000 0.0000  12 Pt 2.93-3.02
4 Ga 0.5883 0.5883 0.7480  5 Pt 2.47-2.50
5 Ga 0.4117 0.4117 0.2520  5 Pt 2.47-2.50
6 Pt 0.5000 0.5000 0.0000  4 Nd 2.93-2.96, 8 Pt 3.02
7 Pt 0.3842 0.3842 0.4261  1 Ga 2.47, 1 Pt 2.68
8 Pt 0.6158 0.6158 0.5739  1 Ga 2.47, 1 Pt 2.68
9 Pt 0.9456 0.4458 0.1545  2 Ga 2.50
10 Pt 0.4458 0.9456 0.1545  2 Ga 2.50
11 Pt 0.5542 0.0544 0.8455  2 Ga 2.50
12 Pt 0.0544 0.5542 0.8455  2 Ga 2.50

total energy: -6.222 eV/atom
energy of formation: -0.975 eV/atom
total moment: 0.00 μB per cell
calculated density: 12.997 g/cm3
symmetry: C2/m

3.
Compound: LaNdGa2Rh2
Source: Alexandria via LeMat-Bulk
Functional: PBE
Structure: relaxed

abc: 4.3950 4.3950 7.8429
angles: 90.00 90.00 120.00
With the nearest neighbours (Å) after each atom.
Element x y z (fractional)
1 La 0.0000 0.0000 0.0000  6 Rh 3.22, 6 Ga 3.25
2 Nd 0.0000 0.0000 0.5000  6 Ga 3.16, 6 Rh 3.19
3 Ga 0.6667 0.3333 0.7410  3 Rh 2.54
4 Ga 0.3333 0.6667 0.2590  3 Rh 2.54
5 Rh 0.6667 0.3333 0.2527  3 Ga 2.54
6 Rh 0.3333 0.6667 0.7473  3 Ga 2.54

total energy: -5.854 eV/atom
energy of formation: -0.779 eV/atom
total moment: 0.00 μB per cell
calculated density: 7.954 g/cm3
symmetry: P-3m1

4.
Compound: LaNdGaRu
Source: Alexandria via LeMat-Bulk
Functional: PBE
Structure: relaxed

abc: 5.1477 5.1477 5.1477
angles: 60.00 60.00 60.00
With the nearest neighbours (Å) after each atom.
Element x y z (fractional)
1 Ru 0.5000 0.5000 0.5000  4 Nd 3.15, 4 La 3.15
2 Nd 0.7500 0.7500 0.7500  4 Ru 3.15, 4 Ga 3.15
3 Ga 0.0000 0.0000 0.0000  4 La 3.15, 4 Nd 3.15
4 La 0.2500 0.2500 0.2500  4 Ru 3.15, 4 Ga 3.15

ΔE to the lowest computed polymorph: 0.49 eV/f.u.
total energy: -5.795 eV/atom
energy of formation: -0.296 eV/atom
total moment: 0.00 μB per cell
calculated density: 7.815 g/cm3
symmetry: F-43m

5.
Compound: LaNdGaRu
Source: Alexandria via LeMat-Bulk
Functional: PBE
Structure: relaxed

abc: 4.4216 3.9393 6.1227
angles: 90.00 111.17 90.00
With the nearest neighbours (Å) after each atom.
Element x y z (fractional)
1 La 0.8685 0.5000 0.7370  4 Ru 3.01, 2 Ga 3.16
2 Nd 0.1497 0.0000 0.2994  1 Ru 3.04, 4 Ga 3.11
3 Ga 0.5660 0.5000 0.1320  2 Ru 2.61
4 Ru 0.4158 0.0000 0.8315  2 Ga 2.61

ΔE to the lowest computed polymorph: 0.00 eV/f.u.
total energy: -5.918 eV/atom
energy of formation: -0.419 eV/atom
total moment: 0.00 μB per cell
calculated density: 7.580 g/cm3
symmetry: Amm2

6.
Compound: La2NdGaSe5
Source: Alexandria via LeMat-Bulk
Functional: PBE
Structure: relaxed

abc: 4.1602 9.2722 12.7714
angles: 90.00 90.00 102.96
With the nearest neighbours (Å) after each atom.
Element x y z (fractional)
1 La 0.8794 0.7588 0.8049  8 Se 3.07-3.30
2 La 0.1305 0.2610 0.6797  8 Se 3.06-3.37
3 La 0.1206 0.2412 0.3049  8 Se 3.07-3.30
4 La 0.8695 0.7390 0.1797  8 Se 3.06-3.37
5 Nd 0.8137 0.6273 0.4954  6 Se 2.97-3.13, 2 Ga 3.06
6 Nd 0.1863 0.3727 0.9954  6 Se 2.97-3.13, 2 Ga 3.06
7 Ga 0.5628 0.1257 0.9783  3 Se 2.52-2.58
8 Ga 0.4372 0.8743 0.4783  3 Se 2.52-2.58
9 Se 0.3507 0.7014 0.9981  1 Nd 2.97, 4 La 3.13-3.27
10 Se 0.7056 0.4113 0.8236  2 Nd 3.04, 3 La 3.09-3.15, 1 Ga 3.25
11 Se 0.5091 0.0182 0.7958  1 Ga 2.52
12 Se 0.3042 0.6084 0.6638  2 Nd 3.00, 3 La 3.07-3.15
13 Se 0.9751 0.9502 0.5844  2 Ga 2.58
14 Se 0.6493 0.2986 0.4981  1 Nd 2.97, 4 La 3.13-3.27
15 Se 0.2944 0.5887 0.3236  2 Nd 3.04, 3 La 3.09-3.15, 1 Ga 3.25
16 Se 0.4909 0.9818 0.2958  1 Ga 2.52
17 Se 0.6958 0.3916 0.1638  2 Nd 3.00, 3 La 3.07-3.15
18 Se 0.0249 0.0498 0.0844  2 Ga 2.58

total energy: -5.516 eV/atom
total moment: 0.00 μB per cell
formation energy (no corrections): -1.62 eV/atom
calculated density: 6.133 g/cm3
symmetry: Cmc2_1

7.
Compound: LaNdGaSi
Source: Alexandria via LeMat-Bulk
Functional: PBE
Structure: relaxed

abc: 5.2369 5.2369 5.2369
angles: 60.00 60.00 60.00
With the nearest neighbours (Å) after each atom.
Element x y z (fractional)
1 Si 0.7500 0.7500 0.7500  4 La 3.21, 4 Nd 3.21
2 Nd 0.0000 0.0000 0.0000  4 Si 3.21, 4 Ga 3.21
3 Ga 0.2500 0.2500 0.2500  4 La 3.21, 4 Nd 3.21
4 La 0.5000 0.5000 0.5000  4 Si 3.21, 4 Ga 3.21

ΔE to the lowest computed polymorph: 0.81 eV/f.u.
total energy: -5.027 eV/atom
total moment: 0.00 μB per cell
formation energy (no corrections): -0.49 eV/atom
calculated density: 6.229 g/cm3
symmetry: F-43m

8.
Compound: LaNdGaSi
Source: Alexandria via LeMat-Bulk
Functional: PBE
Structure: relaxed

abc: 4.4929 4.0847 6.1141
angles: 90.00 111.56 90.00
With the nearest neighbours (Å) after each atom.
Element x y z (fractional)
1 La 0.8566 0.5000 0.7132  4 Ga 3.16, 3 Si 3.25-3.32
2 Nd 0.1396 0.0000 0.2791  4 Si 3.13, 3 Ga 3.25-3.33
3 Ga 0.4327 0.0000 0.8654  2 Si 2.58
4 Si 0.5711 0.5000 0.1423  2 Ga 2.58

ΔE to the lowest computed polymorph: 0.00 eV/f.u.
total energy: -5.228 eV/atom
total moment: 0.23 μB per cell
formation energy (no corrections): -0.69 eV/atom
calculated density: 6.062 g/cm3
symmetry: Amm2

9.
Compound: La3Nd3Tl2Ga
Source: Alexandria via LeMat-Bulk
Functional: PBE
Structure: relaxed

abc: 3.9091 9.1705 9.1705
angles: 120.00 90.00 90.00
With the nearest neighbours (Å) after each atom.
Element x y z (fractional)
1 La 0.5000 0.7336 0.0000  2 Ga 3.13, 2 Tl 3.41
2 La 0.5000 0.0000 0.7336  2 Ga 3.13, 2 Tl 3.41
3 La 0.5000 0.2664 0.2664  2 Ga 3.13, 2 Tl 3.41
4 Nd 0.0000 0.6078 0.6078  4 Tl 3.44, 1 Ga 3.60, 6 La 3.69-3.73
5 Nd 0.0000 0.0000 0.3922  4 Tl 3.44, 1 Ga 3.60, 6 La 3.69-3.73
6 Nd 0.0000 0.3922 0.0000  4 Tl 3.44, 1 Ga 3.60, 6 La 3.69-3.73
7 Tl 0.5000 0.6667 0.3333  3 La 3.41, 6 Nd 3.44
8 Tl 0.5000 0.3333 0.6667  3 La 3.41, 6 Nd 3.44
9 Ga 0.0000 0.0000 0.0000  6 La 3.13

total energy: -4.404 eV/atom
energy of formation: -0.310 eV/atom
total moment: 0.01 μB per cell
calculated density: 7.745 g/cm3
symmetry: P-62m

10.
Compound: LaNd2Zn2Ga2
Source: Alexandria via LeMat-Bulk
Functional: PBE
Structure: relaxed

abc: 4.5378 4.5378 10.0530
angles: 76.96 76.96 60.00
With the nearest neighbours (Å) after each atom.
Element x y z (fractional)
1 La 0.0000 0.0000 0.0000  6 Zn 3.33, 6 Ga 3.34
2 Nd 0.1284 0.1284 0.6149  3 Ga 3.10, 3 Zn 3.12, 3 Nd 3.44
3 Nd 0.8716 0.8716 0.3851  3 Ga 3.10, 3 Zn 3.12, 3 Nd 3.44
4 Zn 0.5962 0.5962 0.2115  3 Ga 2.62
5 Zn 0.4038 0.4038 0.7885  3 Ga 2.62
6 Ga 0.7381 0.7381 0.7857  3 Zn 2.62
7 Ga 0.2619 0.2619 0.2143  3 Zn 2.62

total energy: -3.701 eV/atom
energy of formation: -0.406 eV/atom
total moment: 0.00 μB per cell
calculated density: 6.693 g/cm3
symmetry: R-3m

11.
Compound: La2Nd2ZnGa4
Source: Alexandria via LeMat-Bulk
Functional: PBE
Structure: relaxed

abc: 6.7802 6.7802 6.7802
angles: 96.85 116.13 116.13
With the nearest neighbours (Å) after each atom.
Element x y z (fractional)
1 La 0.5000 0.7500 0.2500  8 Ga 3.39, 4 Nd 3.64
2 La 0.5000 0.2500 0.7500  8 Ga 3.39, 4 Nd 3.64
3 Nd 0.0000 0.6838 0.6838  1 Zn 2.85, 4 Ga 3.12
4 Nd 0.0000 0.3162 0.3162  1 Zn 2.85, 4 Ga 3.12
5 Zn 0.0000 0.0000 0.0000  4 Ga 2.43
6 Ga 0.0000 0.7605 0.2395  1 Zn 2.43
7 Ga 0.5209 0.7605 0.7605  1 Zn 2.43
8 Ga 0.0000 0.2395 0.7605  1 Zn 2.43
9 Ga 0.4791 0.2395 0.2395  1 Zn 2.43

total energy: -3.993 eV/atom
energy of formation: -0.352 eV/atom
total moment: 0.00 μB per cell
calculated density: 6.531 g/cm3
symmetry: I4/mmm